## Tb2Zn17 (PBE-GGA)

Data for a relaxed Tb2Zn17 crystal.

Cell: 8.9505 8.9505 8.7246 Å, 90.00 90.00 120.00°
Closest atoms and distances in Å follow each position.
Space group P6_3/mmc (No. 194)
Symmetry-distinct sites (fractional):
Tb 0.0000 0.0000 0.2500 [2 per cell]  18 Zn 3.13-3.45
Tb 0.3333 0.6667 0.2500 [2 per cell]  20 Zn 3.06-3.38
Zn 0.0000 0.5000 0.0000 [6 per cell]  10 Zn 2.59-2.73
Zn 0.0389 0.3677 0.7500 [12 per cell]  8 Zn 2.59-2.72
Zn 0.1615 0.3229 0.0216 [12 per cell]  8 Zn 2.53-2.72
Zn 0.3333 0.6667 0.6007 [4 per cell]  7 Zn 2.60-2.87

Properties
final energy	-1.8615	eV per atom
magnetization	0.0	Bohr magnetons per cell



## FeBIrPt (PBE-GGA)

Data for a relaxed FeBIrPt crystal.

Cell: 5.8854 5.8854 5.8854 Å, 90.00 90.00 90.00°
Closest atoms and distances in Å follow each position.
Space group F-43m (No. 216)
Symmetry-distinct sites (fractional):
Fe 0.0000 0.0000 0.0000 [4 per cell]  4 B 2.55, 4 Pt 2.55
B 0.2500 0.2500 0.7500 [4 per cell]  4 Fe 2.55, 4 Ir 2.55
Ir 0.0000 0.0000 0.5000 [4 per cell]  4 B 2.55, 4 Pt 2.55
Pt 0.2500 0.2500 0.2500 [4 per cell]  4 Fe 2.55, 4 Ir 2.55

Properties
magnetization	10.4	Bohr magnetons per cell
energy above the lowest structure with this stoichiometry	0.0000	eV per atom



## GdNi2Pd2 (PBE-GGA)

Data for a relaxed GdNi2Pd2 crystal.

Cell: 3.8954 3.8954 11.1360 Å, 90.00 90.00 90.00°
Closest atoms and distances in Å follow each position.
Space group P4/nmm (No. 129, origin choice 2)
Symmetry-distinct sites (fractional):
Gd 0.2500 0.2500 0.2419 [2 per cell]  4 Ni 2.95, 4 Pd 3.05
Ni 0.2500 0.2500 0.8538 [2 per cell]  5 Pd 2.38-2.54
Ni 0.2500 0.7500 0.5000 [2 per cell]  4 Pd 2.49, 4 Ni 2.75
Pd 0.2500 0.2500 0.6400 [2 per cell]  5 Ni 2.38-2.49
Pd 0.2500 0.7500 0.0000 [2 per cell]  4 Ni 2.54, 4 Pd 2.75

Properties
magnetization	1.6	Bohr magnetons per cell
energy above the lowest structure with this stoichiometry	0.0000	eV per atom



## AgBiPF (PBE-GGA)

Data for a relaxed AgBiPF crystal.

Cell: 4.5052 4.5052 27.8696 Å, 90.00 90.00 120.00°
Closest atoms and distances in Å follow each position.
Space group R-3m (No. 166, hexagonal axes)
Symmetry-distinct sites (fractional):
Ag 0.0000 0.0000 0.1149 [6 per cell]  1 F 2.35
Bi 0.0000 0.0000 0.2883 [6 per cell]  1 F 2.49, 3 P 2.71
P 0.0000 0.0000 0.4057 [6 per cell]  3 Bi 2.71, 3 Ag 2.86
F 0.0000 0.0000 0.1991 [6 per cell]  1 Ag 2.35, 1 Bi 2.49

Properties
energy above the lowest structure with this stoichiometry	0.3527	eV per atom